Entry from Alexandria via LeMat-Bulk: InFe2Re2 after structural relaxation (PBE).

The structure in CIF format:
```
data_InFe2Re2
_symmetry_space_group_name_H-M 'P 4/m b m'
_symmetry_Int_Tables_number 127
_symmetry_space_group_name_Hall '-P 4 2ab'
_cell_length_a 7.297
_cell_length_b 7.297
_cell_length_c 2.716
_cell_angle_alpha 90.00
_cell_angle_beta 90.00
_cell_angle_gamma 90.00
loop_
_atom_site_label
_atom_site_fract_x
_atom_site_fract_y
_atom_site_fract_z
_atom_site_occupancy
In1 0.000 0.000 0.000 1
Fe1 0.125 0.375 0.000 1
Re1 0.162 0.662 0.500 1
```

Computed properties:
- volume (Å³ per cell) = 144.6
- calculated total energy (eV/atom) = -8.57
- magnetization (μB/f.u.) = 0.00
- N(E_F) (states/eV per cell) = 10.8

Entry from Alexandria via LeMat-Bulk: VNi2Ir3 after structural relaxation (PBE).

The structure in CIF format:
```
data_VNi2Ir3
_symmetry_space_group_name_H-M 'C m m m'
_symmetry_Int_Tables_number 65
_symmetry_space_group_name_Hall '-C 2 2'
_cell_length_a 3.830
_cell_length_b 11.479
_cell_length_c 7.208
_cell_angle_alpha 90.00
_cell_angle_beta 90.00
_cell_angle_gamma 90.00
loop_
_atom_site_label
_atom_site_fract_x
_atom_site_fract_y
_atom_site_fract_z
_atom_site_occupancy
V1 0.000 0.155 0.000 1
Ni1 0.000 0.174 0.500 1
Ni2 0.000 0.500 0.000 1
Ni3 0.000 0.500 0.500 1
Ir1 0.000 0.000 0.256 1
Ir2 0.000 0.332 0.244 1
```

Computed properties:
- volume (Å³ per cell) = 316.9
- calculated total energy (eV/atom) = -8.08
- magnetization (μB/f.u.) = 0.38
- N(E_F) (states/eV per cell) = 36.7

Entry from Alexandria via LeMat-Bulk: Nd2SeCl3 after structural relaxation (PBE).

The structure in CIF format:
```
data_Nd2SeCl3
_symmetry_space_group_name_H-M 'C 1 2/m 1'
_symmetry_Int_Tables_number 12
_symmetry_space_group_name_Hall '-C 2y'
_cell_length_a 16.494
_cell_length_b 4.336
_cell_length_c 12.911
_cell_angle_alpha 90.00
_cell_angle_beta 123.28
_cell_angle_gamma 90.00
loop_
_atom_site_label
_atom_site_fract_x
_atom_site_fract_y
_atom_site_fract_z
_atom_site_occupancy
Nd1 0.105 0.000 0.447 1
Nd2 0.128 0.500 0.834 1
Se1 0.114 0.000 0.683 1
Cl1 0.069 0.500 0.274 1
Cl2 0.163 0.000 0.010 1
Cl3 0.231 0.500 0.589 1
```

Computed properties:
- volume (Å³ per cell) = 771.9
- E_form (uncorrected) (eV per atom) = -2.00
- calculated total energy (eV/atom) = -5.09
- magnetization (μB/f.u.) = 0.00
- N(E_F) (states/eV per cell) = 7.4

Entry from Alexandria via LeMat-Bulk: NaRuF6 after structural relaxation (PBE).

The structure in CIF format:
```
data_NaRuF6
_symmetry_space_group_name_H-M 'P 3 1 2'
_symmetry_Int_Tables_number 149
_symmetry_space_group_name_Hall 'P 3 2'
_cell_length_a 5.3077
_cell_length_b 5.3077
_cell_length_c 5.0370
_cell_angle_alpha 90.00
_cell_angle_beta 90.00
_cell_angle_gamma 120.00
loop_
_atom_site_label
_atom_site_fract_x
_atom_site_fract_y
_atom_site_fract_z
_atom_site_occupancy
Na1 0.0000 0.0000 0.0000 1
Ru1 0.3333 0.6667 0.5000 1
F1 0.0442 0.3740 0.2804 1
```

Computed properties:
- volume (Å³ per cell) = 122.9
- E_form (uncorrected) (eV per atom) = -2.07
- calculated total energy (eV/atom) = -4.80
- magnetization (μB/f.u.) = 3.00